Entry 1:
# PrNdGeBr

PrNdGeBr after structural relaxation (GGA-PBE, the Alexandria database).

Lattice parameters (Å, degrees): 5.981 5.154 5.154 59.49 90.00 90.00
Sites, in units of the cell vectors:
Pr  0.000  0.000  0.000
Nd  0.500  0.668  0.668
Ge  0.500  0.000  0.000
Br  0.000  0.669  0.669

## Properties
The value obtained for the formation energy without anion corrections is -0.841 eV per atom. The space group is No. 38.


Entry 2:
# MnAlRe2

MnAlRe2 after structural relaxation (GGA-PBE, the Alexandria database).

Lattice parameters (Å, degrees): 4.969 4.969 4.969 143.73 129.49 63.76
Sites, in units of the cell vectors:
Mn  0.000  0.000  0.000
Al  0.754  0.254  0.500
Re  0.245  0.745  0.500
Re  0.496  0.496  0.000

## Properties
For the calculated formation energy, the calculation gives -0.38 eV/f.u. The space group is No. 44.


Entry 3:
# MnCrCuAu

MnCrCuAu after structural relaxation (GGA-PBE, the Alexandria database).

Lattice parameters (Å, degrees): 3.770 3.921 3.952 90.00 90.18 90.00
Sites, in units of the cell vectors:
Mn  0.000  0.000  0.000
Cr  0.500  0.500  0.000
Cu  0.000  0.500  0.500
Au  0.500  0.000  0.500

## Properties
For the calculated formation energy, the calculation gives 0.42 eV/f.u. The space group is No. 10.


Entry 4:
# K2CaSb

K2CaSb after structural relaxation (GGA-PBE, the Alexandria database).

Lattice parameters (Å, degrees): 8.189 8.189 5.500 90.00 90.00 136.89
Sites, in units of the cell vectors:
K  0.137  0.863  0.000
K  0.863  0.137  0.000
Ca  0.500  0.500  0.500
Sb  0.000  0.000  0.500

## Properties
The value obtained for the formation energy without anion corrections is -0.250 eV per atom. The space group is No. 65.


Entry 5:
# YEr2Cd6

YEr2Cd6 after structural relaxation (GGA-PBE, the Alexandria database).

Lattice parameters (Å, degrees): 8.588 8.588 3.421 90.00 90.00 120.00
Sites, in units of the cell vectors:
Y  0.000  0.000  0.000
Er  0.333  0.667  0.000
Er  0.667  0.333  0.000
Cd  0.000  0.334  0.500
Cd  0.000  0.666  0.500
Cd  0.334  0.000  0.500
Cd  0.334  0.334  0.500
Cd  0.666  0.000  0.500
Cd  0.666  0.666  0.500

## Properties
For the calculated formation energy, the calculation gives -2.81 eV/f.u. The space group is No. 191.


Entry 6:
# Sb3PbN

Sb3PbN after structural relaxation (GGA-PBE, the Alexandria database).

Lattice parameters (Å, degrees): 4.898 4.898 4.898 90.00 90.00 90.00
Sites, in units of the cell vectors:
Sb  0.000  0.000  0.500
Sb  0.000  0.500  0.000
Sb  0.500  0.000  0.000
Pb  0.500  0.500  0.500
N  0.000  0.000  0.000

## Properties
The value obtained for the formation energy without anion corrections is 0.507 eV per atom. The space group is No. 221.


Entry 7:
# ZrTlIr2

ZrTlIr2 after structural relaxation (GGA-PBE, the Alexandria database).

Lattice parameters (Å, degrees): 4.872 4.872 4.872 127.06 127.06 78.16
Sites, in units of the cell vectors:
Zr  0.000  0.000  0.000
Tl  0.500  0.500  0.000
Ir  0.250  0.750  0.500
Ir  0.750  0.250  0.500

## Properties
For the calculated formation energy, the calculation gives -1.25 eV/f.u. The space group is No. 139.


Entry 8:
# RbCaSeO4

RbCaSeO4 after structural relaxation (GGA-PBE, the Alexandria database).

Lattice parameters (Å, degrees): 6.991 6.991 6.991 124.10 118.61 87.74
Sites, in units of the cell vectors:
Rb  0.500  0.000  0.000
Rb  0.500  0.500  0.500
Ca  0.000  0.000  0.000
Ca  0.500  0.000  0.500
Se  0.140  0.390  0.750
Se  0.860  0.610  0.250
O  0.152  0.710  0.441
O  0.226  0.205  0.478
O  0.226  0.748  0.022
O  0.231  0.290  0.941
O  0.769  0.710  0.059
O  0.774  0.252  0.978
O  0.774  0.795  0.522
O  0.848  0.290  0.559

## Properties
The value obtained for the formation energy without anion corrections is -1.396 eV per atom. The space group is No. 74.


Entry 9:
# CaMn3I8

CaMn3I8 after structural relaxation (GGA-PBE, the Alexandria database).

Lattice parameters (Å, degrees): 8.504 8.504 9.159 118.12 118.12 59.98
Sites, in units of the cell vectors:
Ca  0.000  0.000  0.000
Mn  0.000  0.500  0.000
Mn  0.500  0.000  0.000
Mn  0.500  0.500  0.000
I  0.251  0.251  0.221
I  0.251  0.724  0.222
I  0.262  0.262  0.789
I  0.276  0.749  0.778
I  0.724  0.251  0.222
I  0.738  0.738  0.211
I  0.749  0.276  0.778
I  0.749  0.749  0.779

## Properties
The value obtained for the formation energy without anion corrections is -0.717 eV per atom. The space group is No. 12.


Entry 10:
# ZnTe4Br

ZnTe4Br after structural relaxation (GGA-PBE, the Alexandria database).

Lattice parameters (Å, degrees): 6.355 6.355 6.355 60.00 60.00 60.00
Sites, in units of the cell vectors:
Zn  0.000  0.000  0.000
Te  0.374  0.374  0.374
Te  0.374  0.374  0.879
Te  0.374  0.879  0.374
Te  0.879  0.374  0.374
Br  0.750  0.750  0.750

## Properties
The value obtained for the formation energy without anion corrections is 0.336 eV per atom. The space group is No. 216.


Entry 11:
# Mn2PdPt5

Mn2PdPt5 after structural relaxation (GGA-PBE, the Alexandria database).

Lattice parameters (Å, degrees): 5.574 11.143 3.901 90.00 90.00 90.00
Sites, in units of the cell vectors:
Mn  0.249  0.125  0.000
Mn  0.251  0.625  0.000
Mn  0.749  0.375  0.000
Mn  0.751  0.875  0.000
Pd  0.000  0.000  0.500
Pd  0.500  0.500  0.500
Pt  0.000  0.500  0.500
Pt  0.003  0.750  0.500
Pt  0.248  0.374  0.000
Pt  0.252  0.874  0.000
Pt  0.497  0.250  0.500
Pt  0.500  0.000  0.500
Pt  0.503  0.750  0.500
Pt  0.748  0.126  0.000
Pt  0.752  0.626  0.000
Pt  0.997  0.250  0.500

## Properties
For the calculated formation energy, the calculation gives -2.77 eV/f.u. The space group is No. 55.


Entry 12:
# DyY6Ho2Sc

DyY6Ho2Sc after structural relaxation (GGA-PBE, the Alexandria database).

Lattice parameters (Å, degrees): 8.680 8.680 9.481 94.21 94.21 117.10
Sites, in units of the cell vectors:
Dy  0.022  0.978  0.750
Dy  0.978  0.022  0.250
Y  0.005  0.565  0.688
Y  0.124  0.754  0.055
Y  0.246  0.876  0.445
Y  0.294  0.506  0.885
Y  0.435  0.995  0.812
Y  0.494  0.706  0.615
Y  0.506  0.294  0.385
Y  0.565  0.005  0.188
Y  0.706  0.494  0.115
Y  0.754  0.124  0.555
Y  0.876  0.246  0.945
Y  0.995  0.435  0.312
Ho  0.200  0.301  0.548
Ho  0.301  0.200  0.048
Ho  0.699  0.800  0.952
Ho  0.800  0.699  0.452
Sc  0.413  0.587  0.250
Sc  0.587  0.413  0.750

## Properties
For the calculated formation energy, the calculation gives 1.26 eV/f.u. The space group is No. 15.